Record 1
The following is a DFT calculation (PBEsol) of a relaxed Sc4Si5 crystal.

Cell: 3.745 6.713 6.713 Å, 85.54 73.80 73.80°
Sites, in units of the cell vectors:
1 Sc 0.704 0.296 0.296
2 Sc 0.296 0.704 0.704
3 Sc 0.000 0.704 0.296
4 Sc 0.000 0.296 0.704
5 Si 0.000 0.000 0.000
6 Si 0.315 0.369 0.000
7 Si 0.315 0.000 0.369
8 Si 0.685 0.000 0.631
9 Si 0.685 0.631 0.000

Results
SG: I4/mmm
raw formation energy: -0.5820 eV/atom

---

Record 2
The following is a DFT calculation (PBEsol) of a relaxed TeRu crystal.

Cell: 3.173 4.585 4.935 Å, 90.00 90.00 90.00°
Sites, in units of the cell vectors:
1 Ru 0.000 0.750 0.690
2 Ru 0.000 0.250 0.310
3 Te 0.500 0.250 0.755
4 Te 0.500 0.750 0.245

Results
SG: Pmma
raw formation energy: 0.3286 eV/atom

---

Record 3
The following is a DFT calculation (PBEsol) of a relaxed SiNiIr2 crystal.

Cell: 2.822 4.123 5.022 Å, 114.24 106.32 90.00°
Sites, in units of the cell vectors:
1 Ir 0.969 0.969 0.939
2 Ir 0.748 0.248 0.496
3 Ni 0.538 0.538 0.075
4 Si 0.245 0.745 0.490

Results
SG: Imm2
raw formation energy: -0.2733 eV/atom

---

Record 4
The following is a DFT calculation (PBEsol) of a relaxed MgZrMo crystal.

Cell: 2.682 4.873 4.873 Å, 120.00 90.00 90.00°
Sites, in units of the cell vectors:
1 Mo 0.690 0.333 0.667
2 Zr 0.339 0.667 0.333
3 Mg 0.971 0.000 0.000

Results
SG: P3m1
formation energy from the elements: 268 meV per atom

---

Record 5
The following is a DFT calculation (PBEsol) of a relaxed YTeRu2Pt crystal.

Cell: 4.742 4.742 4.889 Å, 90.00 90.00 90.00°
Sites, in units of the cell vectors:
1 Ru 0.000 0.500 0.000
2 Ru 0.500 0.000 0.000
3 Y 0.500 0.500 0.500
4 Pt 0.000 0.000 0.500
5 Te 0.000 0.000 0.000

Results
SG: P4/mmm
raw formation energy: 0.6266 eV/atom

---

Record 6
The following is a DFT calculation (PBEsol) of a relaxed LiFe crystal.

Cell: 2.461 2.461 8.860 Å, 90.00 90.00 111.11°
Sites, in units of the cell vectors:
1 Li 0.250 0.750 0.647
2 Li 0.750 0.250 0.353
3 Fe 0.250 0.750 0.110
4 Fe 0.750 0.250 0.890

Results
SG: Cmme
formation energy from the elements: 208 meV per atom

---

Record 7
The following is a DFT calculation (PBEsol) of a relaxed AcCd3 crystal.

Cell: 4.918 7.086 7.086 Å, 120.00 90.00 90.00°
Sites, in units of the cell vectors:
1 Ac 0.750 0.333 0.667
2 Ac 0.250 0.667 0.333
3 Cd 0.750 0.853 0.706
4 Cd 0.250 0.706 0.853
5 Cd 0.250 0.147 0.294
6 Cd 0.250 0.147 0.853
7 Cd 0.750 0.853 0.147
8 Cd 0.750 0.294 0.147

Results
SG: P6_3/mmc
formation energy from the elements: -269 meV per atom

---

Record 8
The following is a DFT calculation (PBEsol) of a relaxed Be2NbAu crystal.

Cell: 5.274 5.274 5.274 Å, 105.40 105.40 117.97°
Sites, in units of the cell vectors:
1 Be 0.899 0.375 0.024
2 Be 0.351 0.875 0.976
3 Be 0.125 0.101 0.476
4 Be 0.625 0.649 0.524
5 Nb 0.750 0.250 0.500
6 Nb 0.500 0.500 0.000
7 Au 0.000 0.000 0.000
8 Au 0.250 0.750 0.500

Results
SG: I-42d
relative energy among the computed polymorphs: 293 meV/atom
formation energy from the elements: 300 meV per atom

---

Record 9
The following is a DFT calculation (PBEsol) of a relaxed BaTiIr3 crystal.

Cell: 4.951 4.951 4.951 Å, 90.00 90.00 90.00°
Sites, in units of the cell vectors:
1 Ti 0.500 0.500 0.500
2 Ir 0.000 0.000 0.500
3 Ir 0.000 0.500 0.000
4 Ir 0.500 0.000 0.000
5 Ba 0.000 0.000 0.000

Results
SG: Pm-3m
formation energy from the elements: 2773 meV per atom

---

Record 10
The following is a DFT calculation (PBEsol) of a relaxed Mg2AgRu crystal.

Cell: 3.342 3.342 5.973 Å, 90.00 90.00 90.00°
Sites, in units of the cell vectors:
1 Mg 0.000 0.000 0.981
2 Mg 0.500 0.500 0.286
3 Ru 0.000 0.000 0.488
4 Ag 0.500 0.500 0.744

Results
SG: P4mm
formation energy from the elements: 196 meV per atom

---

Record 11
The following is a DFT calculation (PBEsol) of a relaxed Li2Ag2Pb crystal.

Cell: 3.165 7.561 7.561 Å, 90.00 90.00 90.00°
Sites, in units of the cell vectors:
1 Pb 0.000 0.500 0.500
2 Pb 0.000 0.000 0.000
3 Ag 0.000 0.871 0.629
4 Ag 0.000 0.129 0.371
5 Ag 0.000 0.629 0.129
6 Ag 0.000 0.371 0.871
7 Li 0.500 0.665 0.835
8 Li 0.500 0.165 0.665
9 Li 0.500 0.835 0.335
10 Li 0.500 0.335 0.165

Results
SG: P4/mbm
relative energy among the computed polymorphs: 0 meV/atom
formation energy from the elements: -166 meV per atom

---

Record 12
The following is a DFT calculation (PBEsol) of a relaxed CePmZn2 crystal.

Cell: 5.052 5.052 5.052 Å, 60.00 60.00 60.00°
Sites, in units of the cell vectors:
1 Pm 0.000 0.000 0.000
2 Zn 0.250 0.250 0.250
3 Zn 0.750 0.750 0.750
4 Ce 0.500 0.500 0.500

Results
SG: Fm-3m
formation energy from the elements: -188 meV per atom

---

For the records above, the corresponding total moment values read 0.00; 0.00; 0.00; 0.00; 0.00; 2.25; 0.00; 0.00; 1.10; 0.00; 0.00; 0.82 μB per formula unit.